Entry 1:
A relaxed NbAs2PdBr crystal, computed with GGA-PBE.

```
NbAs2PdBr
1.0
4.819 0.000 0.000
0.000 4.819 0.000
0.000 0.000 5.040
As Nb Br Pd
2 1 1 1
Cartesian
0.000 2.409 0.000 As
2.409 0.000 0.000 As
2.409 2.409 2.520 Nb
0.000 0.000 2.520 Br
0.000 0.000 0.000 Pd
```

Results
* calculated density: 6.088 g cm⁻³
* excess energy over the best structure of this formula in the dataset: 337 meV per atom
* D(E_F): 4.00 states/eV/f.u.
* space group: P4/mmm
* E_form (uncorrected): 0.787 eV/atom

Entry 2:
A relaxed GdTmSn crystal, computed with GGA-PBE.

```
GdTmSn
1.0
-0.763 3.680 -0.364
-2.519 -0.082 4.462
5.019 1.032 -0.091
Gd Tm Sn
1 1 1
Cartesian
2.222 2.029 1.292 Gd
-0.706 3.403 -0.336 Tm
-0.543 2.878 2.689 Sn
```

Results
* calculated density: 8.604 g cm⁻³
* excess energy over the best structure of this formula in the dataset: 30 meV per atom
* D(E_F): 3.69 states/eV/f.u.
* energy of formation from the pure elements: -354.9 meV per atom
* space group: P3m1

Entry 3:
A relaxed GdSO4F crystal, computed with GGA-PBE.

```
GdSO4F
1.0
-5.194 -0.627 -3.859
-4.052 -1.307 5.666
-1.590 8.338 0.786
Gd S O F
4 4 16 4
Cartesian
-6.507 -0.932 1.781 Gd
-2.505 3.291 1.184 Gd
-4.329 7.336 0.813 Gd
-8.331 3.113 1.409 Gd
-5.452 6.477 4.245 S
-5.519 4.176 -0.767 S
-5.318 2.228 3.360 S
-5.385 -0.073 -1.651 S
-3.136 -0.835 4.214 O
-4.444 3.367 -0.185 O
-7.700 7.239 -1.620 O
-6.393 3.037 2.778 O
-3.939 -0.033 -2.084 O
-5.322 2.362 4.864 O
-5.548 6.872 2.791 O
-6.864 3.606 -0.385 O
-4.849 5.150 4.370 O
-3.973 2.797 2.978 O
-5.988 1.254 -1.776 O
-5.398 0.819 2.978 O
-5.515 4.042 -2.271 O
-5.288 -0.468 -0.198 O
-5.438 5.585 -0.384 O
-6.897 6.437 4.677 O
-7.945 5.201 2.167 F
-2.892 1.203 0.426 F
-7.655 0.971 1.399 F
-3.181 5.432 1.194 F
```

Results
* calculated density: 4.605 g cm⁻³
* D(E_F): 0.00 states/eV/f.u.
* space group: Pnma
* E_form (uncorrected): -2.504 eV/atom

Entry 4:
A relaxed MnIn2CoN crystal, computed with GGA-PBE.

```
MnIn2CoN
1.0
4.990 0.000 0.000
0.000 3.447 0.000
0.000 0.000 4.990
N Mn Co In
1 1 1 2
Cartesian
0.000 0.000 0.000 N
2.495 1.724 2.495 Mn
0.000 1.724 0.000 Co
0.000 0.000 2.495 In
2.495 0.000 0.000 In
```

Results
* calculated density: 6.916 g cm⁻³
* D(E_F): 3.09 states/eV/f.u.
* space group: P4/mmm
* E_form (uncorrected): 0.439 eV/atom

Entry 5:
A relaxed AcPaTcO6 crystal, computed with GGA-PBE.

```
AcPaTcO6
1.0
5.724 0.000 0.000
-2.862 4.958 0.000
0.000 0.000 9.438
Ac Pa Tc O
2 2 2 12
Cartesian
0.000 3.305 2.359 Ac
2.862 1.653 7.078 Ac
0.000 0.000 0.000 Pa
0.000 0.000 4.719 Pa
2.862 1.653 2.359 Tc
0.000 3.305 7.078 Tc
2.225 3.207 1.187 O
4.527 1.427 1.187 O
-1.027 4.634 5.906 O
-1.665 3.530 8.250 O
1.198 1.427 3.531 O
3.499 3.207 3.531 O
1.027 4.634 8.250 O
3.890 0.324 3.531 O
-0.637 1.751 5.906 O
1.835 0.324 1.187 O
1.665 3.530 5.906 O
0.637 1.751 8.250 O
```

Results
* calculated density: 8.085 g cm⁻³
* space group: P-31c
* E_form (uncorrected): -2.699 eV/atom

Entry 6:
A relaxed TcMo2As crystal, computed with GGA-PBE.

```
TcMo2As
1.0
2.995 0.000 0.000
0.000 2.995 0.000
0.000 0.000 6.782
As Mo Tc
1 2 1
Cartesian
1.498 1.498 5.087 As
0.000 0.000 6.733 Mo
0.000 0.000 3.440 Mo
1.498 1.498 1.696 Tc
```

Results
* calculated density: 9.957 g cm⁻³
* D(E_F): 3.59 states/eV/f.u.
* energy of formation from the pure elements: 56.1 meV per atom
* space group: P4/mmm